The following is a DFT calculation (PBE) of a relaxed Re2HgTe crystal.

Cell lengths 6.5566, 6.5566, 6.5566 Å; angles 90.00, 90.00, 90.00 degrees
Space group Fm-3m (No. 225)
Inequivalent atoms, fractional coordinates:
Re (0.2500, 0.2500, 0.2500)
Hg (0.0000, 0.0000, 0.0000)
Te (0.0000, 0.0000, 0.5000)

Calculated values
As for the size of the total moment: 0.00 μB per formula unit. For the energy relative to the elements, uncorrected, the calculation gives 1077 meV per atom. The calculation puts the total energy at -6.01 eV per atom. As for the energy above the most stable polymorph in this dataset: 712 meV per atom.

=====

The following is a DFT calculation (PBE) of a relaxed Se2IF crystal.

Cell lengths 6.8756, 6.8756, 6.8756 Å; angles 90.00, 90.00, 90.00 degrees
Space group Fm-3m (No. 225)
Inequivalent atoms, fractional coordinates:
Se (0.2500, 0.2500, 0.2500)
I (0.0000, 0.0000, 0.0000)
F (0.0000, 0.0000, 0.5000)

Calculated values
As for the size of the total moment: 0.00 μB per formula unit. For the energy relative to the elements, uncorrected, the calculation gives 264 meV per atom. The calculation puts the total energy at -2.33 eV per atom. As for the energy above the most stable polymorph in this dataset: 549 meV per atom.

=====

The following is a DFT calculation (PBE) of a relaxed Sc2H2Ru crystal.

Cell lengths 3.2357, 3.2357, 11.5369 Å; angles 90.00, 90.00, 90.00 degrees
Space group I4/mmm (No. 139)
Inequivalent atoms, fractional coordinates:
Sc (0.0000, 0.0000, 0.1380)
H (0.0000, 0.5000, 0.2500)
Ru (0.0000, 0.0000, 0.5000)

Calculated values
As for the size of the total moment: 0.00 μB per formula unit. The calculation puts the total energy at -6.31 eV per atom. As for the energy above the most stable polymorph in this dataset: 0 meV per atom.

=====

The following is a DFT calculation (PBE) of a relaxed K2LiF2 crystal.

Cell lengths 8.7160, 8.9739, 6.6428 Å; angles 90.00, 98.72, 90.00 degrees
Space group P2_1/c (No. 14)
Inequivalent atoms, fractional coordinates:
K (0.0356, 0.1179, 0.2195)
K (0.3847, 0.6606, 0.9250)
Li (0.3539, 0.0213, 0.9809)
F (0.2104, 0.6065, 0.5664)
F (0.4807, 0.5650, 0.3061)

Calculated values
As for the size of the total moment: 0.00 μB per formula unit. For the energy relative to the elements, uncorrected, the calculation gives -2148 meV per atom. The calculation puts the total energy at -3.72 eV per atom.

=====

The following is a DFT calculation (PBE) of a relaxed LiLaRe2 crystal.

Cell lengths 3.3510, 3.3510, 6.7169 Å; angles 90.00, 90.00, 90.00 degrees
Space group P4/mmm (No. 123)
Inequivalent atoms, fractional coordinates:
Li (0.0000, 0.0000, 0.0000)
La (0.0000, 0.0000, 0.5000)
Re (0.5000, 0.5000, 0.1701)

Calculated values
As for the size of the total moment: 0.00 μB per formula unit. The calculation puts the total energy at -7.27 eV per atom. As for the energy above the most stable polymorph in this dataset: 430 meV per atom. The calculation puts the formation energy from the elements at 667 meV per atom.

=====

The following is a DFT calculation (PBE) of a relaxed RbGeTe2 crystal.

Cell lengths 3.5004, 3.5004, 35.7048 Å; angles 90.00, 90.00, 120.00 degrees
Space group R-3m (No. 166, hexagonal axes)
Inequivalent atoms, fractional coordinates:
Rb (0.0000, 0.0000, 0.0000)
Ge (0.0000, 0.0000, 0.5000)
Te (0.0000, 0.0000, 0.4162)

Calculated values
As for the size of the total moment: 0.00 μB per formula unit. For the energy relative to the elements, uncorrected, the calculation gives 131 meV per atom. The calculation puts the total energy at -2.84 eV per atom.

=====

The following is a DFT calculation (PBE) of a relaxed Tb5CdIn3 crystal.

Cell lengths 9.3303, 9.3303, 6.6750 Å; angles 90.00, 90.00, 120.00 degrees
Space group P6_3/mcm (No. 193)
Inequivalent atoms, fractional coordinates:
Tb (0.0000, 0.2921, 0.2500)
Tb (0.3333, 0.6667, 0.0000)
Cd (0.0000, 0.0000, 0.0000)
In (0.0000, 0.3696, 0.7500)

Calculated values
As for the size of the total moment: 0.00 μB per formula unit. The calculation puts the total energy at -3.99 eV per atom. The calculation puts the formation energy from the elements at -406 meV per atom.

=====

The following is a DFT calculation (PBE) of a relaxed SmSc2Tl3 crystal.

Cell lengths 3.6520, 3.6520, 11.3061 Å; angles 90.00, 90.00, 90.00 degrees
Space group P4/mmm (No. 123)
Inequivalent atoms, fractional coordinates:
Sm (0.0000, 0.0000, 0.0000)
Sc (0.0000, 0.0000, 0.3440)
Tl (0.5000, 0.5000, 0.1864)
Tl (0.5000, 0.5000, 0.5000)

Calculated values
As for the size of the total moment: 0.00 μB per formula unit. The calculation puts the total energy at -4.38 eV per atom. The calculation puts the formation energy from the elements at -301 meV per atom.